# 1
Material: CoCuW4
Method: DFT, PBE-GGA
State: optimized geometry

Calculated values
Formation energy from the elements   18.903 kcal/mol of atoms

Cell lengths 7.3477, 7.3477, 7.3477 Å; angles 90.00, 90.00, 90.00 degrees
Space group F-43m (No. 216)
Inequivalent atoms, fractional coordinates:
Co: 0.0000 0.0000 0.0000
Cu: 0.2500 0.2500 0.2500
W: 0.1245 0.1245 0.6245

# 2
Material: Mg6Cd2Ru
Method: DFT, PBE-GGA
State: optimized geometry

Calculated values
Formation energy from the elements   0.983 kcal/mol of atoms

Cell lengths 15.2754, 8.2019, 3.0809 Å; angles 90.00, 101.41, 90.00 degrees
Space group C2/m (No. 12)
Inequivalent atoms, fractional coordinates:
Mg: 0.0000 0.2153 0.0000
Mg: 0.1612 0.3219 0.6608
Cd: 0.1637 0.0000 0.1633
Ru: 0.0000 0.5000 0.5000

# 3
Material: Cr2CuRh2
Method: DFT, PBE-GGA
State: optimized geometry

Calculated values
Formation energy from the elements   3.760 kcal/mol of atoms
Energy relative to the lowest polymorph listed for this composition   0.00 eV/f.u.

Cell lengths 7.1586, 7.1586, 2.6687 Å; angles 90.00, 90.00, 90.00 degrees
Space group P4/mbm (No. 127)
Inequivalent atoms, fractional coordinates:
Cr: 0.1139 0.3861 0.0000
Cu: 0.0000 0.0000 0.0000
Rh: 0.1755 0.6755 0.5000